[1]
22
Lattice="4.334 -1.938 0.000 4.334 1.938 0.000 -0.341 0.000 29.848" Properties=species:S:1:pos:R:3 comment="AsPd10, optimized geometry, DFT PBE" sg="C2/m, No. 12" crystal_system=monoclinic dft_energy_ev_per_atom=-5.19 pbc="T T T"
Pd 0.296 0.000 11.760
Pd 3.739 0.000 13.581
Pd 8.031 0.000 18.089
Pd 6.192 0.000 21.695
Pd 1.980 0.000 17.176
Pd 4.712 0.000 7.154
Pd 2.135 0.000 8.152
Pd 8.176 0.000 9.034
Pd 5.557 0.000 9.953
Pd 0.151 0.000 20.813
Pd 4.587 0.000 16.268
Pd 7.315 0.000 6.171
Pd 1.012 0.000 23.675
Pd 5.402 0.000 18.974
Pd 6.346 0.000 12.672
Pd 2.770 0.000 19.895
Pd 7.193 0.000 15.379
Pd 2.925 0.000 10.874
Pd 1.133 0.000 14.470
Pd 3.615 0.000 22.692
As 7.059 0.000 24.016
As 1.267 0.000 5.830

=====

[2]
9
Lattice="-6.260 0.162 3.257 5.002 -4.474 2.188 1.352 2.717 2.463" Properties=species:S:1:pos:R:3 comment="Dy3Al3Ni2Pd, optimized geometry, DFT PBE" m_tot_mub_per_cell=0.00 sg="P-62m, No. 189" crystal_system=hexagonal dft_energy_ev_per_atom=-5.27 pbc="T T T"
Al -4.720 0.122 2.456
Al 3.771 -3.373 1.650
Al -0.310 -1.061 1.340
Dy -1.969 1.427 2.608
Dy -0.051 -1.131 4.376
Dy 2.789 -0.532 2.156
Ni 1.248 -2.928 2.545
Ni -2.506 -1.383 2.901
Pd 0.676 1.358 1.232

=====

[3]
3
Lattice="-3.541 -1.525 -2.213 -4.097 0.915 1.461 -2.589 2.817 -2.263" Properties=species:S:1:pos:R:3 comment="NaAgPd, optimized geometry, DFT PBE" sg="F-43m, No. 216" crystal_system=cubic dft_energy_ev_per_atom=-2.72 pbc="T T T"
Na 0.000 0.000 0.000
Pd -7.670 1.655 -2.261
Ag -2.557 0.552 -0.754

=====

Number 3 is which compound?
NaAgPd